No. 1
! LuCdIn | Alexandria via LeMat-Bulk | GGA-PBE | relaxed; values from VASP
! E_form	0.30	eV per atom
! theoretical density	7.804	g/cm3
! crystal system	tetragonal
! calculated total energy	-2.4273	eV/atom
! symmetry	I4mm
&SYSTEM
  ibrav = 0, nat = 3, ntyp = 3
/
ATOMIC_SPECIES
Lu 174.97 Lu.upf
Cd 112.41 Cd.upf
In 114.82 In.upf
ATOMIC_POSITIONS angstrom
Lu 0.000 0.000 0.000
Cd 0.000 0.000 14.349
In 0.000 0.000 3.128
CELL_PARAMETERS angstrom
-1.566 1.566 8.725
1.566 -1.566 8.725
1.566 1.566 -8.725

No. 2
! Zr2NiHW | Alexandria via LeMat-Bulk | GGA-PBE | relaxed; values from VASP
! theoretical density	9.670	g/cm3
! crystal system	tetragonal
! calculated total energy	-7.9984	eV/atom
! symmetry	P4/mmm
&SYSTEM
  ibrav = 0, nat = 5, ntyp = 4
/
ATOMIC_SPECIES
Zr 91.22 Zr.upf
Ni 58.69 Ni.upf
H 1.01 H.upf
W 183.84 W.upf
ATOMIC_POSITIONS angstrom
Zr 0.000 2.324 0.000
Zr 2.324 0.000 0.000
Ni 0.000 0.000 1.694
H 0.000 0.000 0.000
W 2.324 2.324 1.694
CELL_PARAMETERS angstrom
4.647 0.000 0.000
0.000 4.647 0.000
0.000 0.000 3.387

No. 3
! La2TaSe4 | Alexandria via LeMat-Bulk | GGA-PBE | relaxed; values from VASP
! uncorrected formation energy	-1.29	eV per atom
! theoretical density	6.892	g/cm3
! crystal system	tetragonal
! calculated total energy	-6.3797	eV/atom
! symmetry	I4/mmm
&SYSTEM
  ibrav = 0, nat = 7, ntyp = 3
/
ATOMIC_SPECIES
La 138.91 La.upf
Ta 180.95 Ta.upf
Se 78.96 Se.upf
ATOMIC_POSITIONS angstrom
La 0.000 0.000 2.117
La 0.000 0.000 13.347
Ta 0.000 0.000 7.732
Se 2.456 0.000 0.000
Se 0.000 0.000 5.011
Se 0.000 2.456 0.000
Se 0.000 0.000 10.454
CELL_PARAMETERS angstrom
-2.456 2.456 7.732
2.456 -2.456 7.732
2.456 2.456 -7.732

Q: Among the records above, which one has the highest theoretical density?
A: Zr2NiHW